Entry 1:
MnTl2Mo | Alexandria | PBE | optimized geometry; energy relative to the elements = 11.0 kcal/mol of atoms; excess energy over the best structure of this formula in the dataset = 25 meV/atom; V = 82.8 Å³/cell; space-group type = P4mm (99); electronic total energy = -22.83 eV/cell
1.0
3.1402 0.0000 0.0000
0.0000 3.1402 0.0000
0.0000 0.0000 8.3986
Mn Tl Mo
1 2 1
direct
0.0000 0.0000 0.0000
0.0000 0.0000 0.4017
0.5000 0.5000 0.7421
0.5000 0.5000 0.1414

Entry 2:
InGa2Ir | Alexandria | PBE | optimized geometry; energy relative to the elements = 1.0 kcal/mol of atoms; V = 304.9 Å³/cell; space-group type = I-42d (122); electronic total energy = -69.89 eV/cell
1.0
4.1322 0.0000 0.0000
0.0000 4.1322 0.0000
0.0000 0.0000 17.8565
In Ga Ir
4 8 4
direct
0.0000 0.0000 0.0000
0.0000 0.5000 0.2500
0.5000 0.0000 0.7500
0.5000 0.5000 0.5000
0.2013 0.2500 0.6250
0.2500 0.7013 0.8750
0.2500 0.7987 0.3750
0.2987 0.2500 0.1250
0.7013 0.7500 0.1250
0.7500 0.2013 0.3750
0.7500 0.2987 0.8750
0.7987 0.7500 0.6250
0.0000 0.0000 0.5000
0.0000 0.5000 0.7500
0.5000 0.0000 0.2500
0.5000 0.5000 0.0000

Entry 3:
PrDyTlAu | Alexandria | PBE | optimized geometry; energy relative to the elements = -12.2 kcal/mol of atoms; excess energy over the best structure of this formula in the dataset = 69 meV/atom; V = 432.6 Å³/cell; space-group type = F-43m (216); electronic total energy = -68.56 eV/cell
1.0
7.5628 0.0000 0.0000
0.0000 7.5628 0.0000
0.0000 0.0000 7.5628
Pr Dy Tl Au
4 4 4 4
direct
0.0000 0.0000 0.0000
0.0000 0.5000 0.5000
0.5000 0.0000 0.5000
0.5000 0.5000 0.0000
0.0000 0.0000 0.5000
0.0000 0.5000 0.0000
0.5000 0.0000 0.0000
0.5000 0.5000 0.5000
0.2500 0.2500 0.2500
0.2500 0.7500 0.7500
0.7500 0.2500 0.7500
0.7500 0.7500 0.2500
0.2500 0.2500 0.7500
0.2500 0.7500 0.2500
0.7500 0.2500 0.2500
0.7500 0.7500 0.7500

Question: Among the records above, which one has the highest energy relative to the elements?
Answer: MnTl2Mo